NdTh2Si2Ir7: optimized geometry, PBE.

Calculated values
density of states at the Fermi level = 0.6047 states/eV/atom

abc: 4.125 4.125 13.338
angles: 95.48 95.48 89.45
Fractional coordinates of all 12 atoms:
Nd 0.000 0.000 0.000
Th 0.097 0.097 0.347
Th 0.903 0.903 0.653
Si 0.423 0.423 0.747
Si 0.577 0.577 0.253
Ir 0.051 0.549 0.164
Ir 0.366 0.366 0.570
Ir 0.451 0.949 0.836
Ir 0.500 0.500 0.000
Ir 0.549 0.051 0.164
Ir 0.634 0.634 0.430
Ir 0.949 0.451 0.836

Nd2TmSi3Ir4: optimized geometry, PBE.

Calculated values
density of states at the Fermi level = 0.5323 states/eV/atom

abc: 4.153 4.153 10.899
angles: 90.00 90.00 90.00
Fractional coordinates of all 10 atoms:
Nd 0.000 0.500 0.233
Nd 0.500 0.000 0.767
Tm 0.000 0.000 0.500
Si 0.000 0.500 0.881
Si 0.500 0.000 0.119
Si 0.500 0.500 0.500
Ir 0.000 0.000 0.000
Ir 0.000 0.500 0.659
Ir 0.500 0.000 0.341
Ir 0.500 0.500 0.000

Nd2USi3Ir4: optimized geometry, PBE.

Calculated values
density of states at the Fermi level = 0.9280 states/eV/atom

abc: 4.197 4.197 10.777
angles: 90.00 90.00 90.00
Fractional coordinates of all 10 atoms:
Nd 0.000 0.500 0.230
Nd 0.500 0.000 0.770
U 0.000 0.000 0.500
Si 0.000 0.500 0.881
Si 0.500 0.000 0.119
Si 0.500 0.500 0.500
Ir 0.000 0.000 0.000
Ir 0.000 0.500 0.654
Ir 0.500 0.000 0.346
Ir 0.500 0.500 0.000

Nd2ZnSi4Ir3: optimized geometry, PBE.

Calculated values
density of states at the Fermi level = 0.5861 states/eV/atom

abc: 4.201 4.201 10.033
angles: 90.00 90.00 90.00
Fractional coordinates of all 10 atoms:
Nd 0.000 0.500 0.243
Nd 0.500 0.000 0.757
Zn 0.000 0.000 0.500
Si 0.000 0.000 0.000
Si 0.000 0.500 0.638
Si 0.500 0.000 0.362
Si 0.500 0.500 0.000
Ir 0.000 0.500 0.878
Ir 0.500 0.000 0.122
Ir 0.500 0.500 0.500

We obtain energy relative to the elements, uncorrected values of -0.733, -0.961, -0.857, -0.864 eV per atom for the records listed above, in that order.